The following is a GGA-PBE calculation of an optimized crystal structure of AcTcPb2O6, from the Alexandria database.

Summary:
**Formation energy without anion corrections**: -1.724 eV/atom
**Size of the total moment**: 4.00 μB/cell

Geometry as CIF:
```
data_AcTcPb2O6
_chemical_formula_sum 'Ac2 Tc2 Pb4 O12'
_symmetry_space_group_name_H-M 'P 1 21/c 1'
_symmetry_Int_Tables_number 14
_cell_length_a 5.704
_cell_length_b 6.516
_cell_length_c 10.358
_cell_angle_alpha 90.00
_cell_angle_beta 123.01
_cell_angle_gamma 90.00
loop_
_symmetry_equiv_pos_as_xyz
'x,y,z'
'-x,-y,-z'
'-x,y+1/2,-z+1/2'
'x,-y+1/2,z+1/2'
loop_
_atom_site_label
_atom_site_type_symbol
_atom_site_fract_x
_atom_site_fract_y
_atom_site_fract_z
Ac1 Ac 0.000 0.000 0.000
Tc1 Tc 0.500 0.000 0.500
Pb1 Pb 0.213 0.049 0.718
O1 O 0.178 0.160 0.481
O2 O 0.263 0.744 0.940
O3 O 0.366 0.054 0.279
```